Material: ScAl2Tc
Method: DFT, SCAN
State: single point on PBEsol structure

Results
The value obtained for the calculated density is 4.837 g/cm3. Its total energy is -16.2439 eV/atom. For the energy relative to the elements, the calculation gives -44 meV/atom.

a b c (Å): 2.977 2.977 8.973
angles (deg): 80.45 80.45 60.00
Element x y z (fractional)
1 Sc 0.507 0.507 0.478
2 Tc 0.253 0.253 0.240
3 Al 0.993 0.993 0.020
4 Al 0.746 0.746 0.762